Entry from the Alexandria database: crystalline RbNa3Ag4F12 at its relaxed geometry (PBE-GGA).

Unit cell a=7.353 b=7.353 c=7.353 alpha=109.47 beta=109.47 gamma=109.47
Fractional coordinates of all 20 atoms:
Rb1 0.000 0.000 0.000
Na1 0.000 0.500 0.500
Na2 0.500 0.000 0.500
Na3 0.500 0.500 0.000
Ag1 0.000 0.000 0.500
Ag2 0.000 0.500 0.000
Ag3 0.500 0.000 0.000
Ag4 0.500 0.500 0.500
F1 0.111 0.808 0.303
F2 0.192 0.303 0.495
F3 0.192 0.697 0.889
F4 0.303 0.111 0.808
F5 0.303 0.495 0.192
F6 0.495 0.192 0.303
F7 0.505 0.808 0.697
F8 0.697 0.505 0.808
F9 0.697 0.889 0.192
F10 0.808 0.303 0.111
F11 0.808 0.697 0.505
F12 0.889 0.192 0.697

Raw total energy: -3.745 eV/atom
SG: No. 204
ΔE_f (raw): -174.2 kJ/mol of atoms